No. 1
Ta2Be16Co: optimized geometry, GGA-PBE.

a = 5.5686 Å, b = 5.5686 Å, c = 5.5686 Å
α = 83.23°, β = 83.23°, γ = 83.23°
With the nearest neighbours (Å) after each atom.
Atoms (fractional coordinates):
1 Ta 0.6612 0.6612 0.6612  1 Co 2.58, 18 Be 2.64-2.82
2 Ta 0.3410 0.3410 0.3410  19 Be 2.56-2.84
3 Be 0.7095 0.9978 0.2867  8 Be 2.08-2.30
4 Be 0.9978 0.2867 0.7095  8 Be 2.08-2.30
5 Be 0.2867 0.7095 0.9978  8 Be 2.08-2.30
6 Be 0.9978 0.7095 0.2867  8 Be 2.08-2.30
7 Be 0.7095 0.2867 0.9978  8 Be 2.08-2.30
8 Be 0.2867 0.9978 0.7095  8 Be 2.08-2.30
9 Be 0.3483 0.8397 0.3483  9 Be 2.12-2.32
10 Be 0.8397 0.3483 0.3483  9 Be 2.12-2.32
11 Be 0.3483 0.3483 0.8397  9 Be 2.12-2.32
12 Be 0.6546 0.1580 0.6546  8 Be 2.12-2.30, 1 Co 2.31
13 Be 0.1580 0.6546 0.6546  8 Be 2.12-2.30, 1 Co 2.31
14 Be 0.6546 0.6546 0.1580  8 Be 2.12-2.30, 1 Co 2.31
15 Be 0.9996 0.5023 0.9996  9 Be 2.08-2.26, 1 Co 2.25
16 Be 0.5023 0.9996 0.9996  9 Be 2.08-2.26, 1 Co 2.25
17 Be 0.9996 0.9996 0.5023  9 Be 2.08-2.26, 1 Co 2.25
18 Be 0.1025 0.1025 0.1025  1 Co 2.15, 6 Be 2.26-2.32
19 Co 0.9023 0.9023 0.9023  13 Be 2.15-2.37

**Total DFT energy (no corrections)**: -4.9954 eV/atom
**DOS at the Fermi energy**: 5.9 states/eV/cell

No. 2
TaBe2Co: optimized geometry, GGA-PBE.

a = 3.5339 Å, b = 3.5339 Å, c = 3.7183 Å
α = 90.00°, β = 90.00°, γ = 90.00°
With the nearest neighbours (Å) after each atom.
Atoms (fractional coordinates):
1 Be 0.0000 0.0000 0.0000  4 Be 2.50, 4 Ta 2.56, 4 Co 2.56
2 Be 0.5000 0.5000 0.0000  4 Be 2.50, 4 Ta 2.56, 4 Co 2.56
3 Co 0.5000 0.0000 0.5000  4 Ta 2.50, 8 Be 2.56
4 Ta 0.0000 0.5000 0.5000  4 Co 2.50, 8 Be 2.56

**Total DFT energy (no corrections)**: -6.6105 eV/atom
**DOS at the Fermi energy**: 2.8 states/eV/cell

No. 3
TaBe2Co3: optimized geometry, GGA-PBE.

a = 3.7621 Å, b = 3.7621 Å, c = 10.6468 Å
α = 90.00°, β = 90.00°, γ = 120.00°
With the nearest neighbours (Å) after each atom.
Atoms (fractional coordinates):
1 Ta 0.0000 0.0000 0.2500  8 Co 2.52-2.66
2 Ta 0.0000 0.0000 0.7500  8 Co 2.52-2.66
3 Be 0.6667 0.3333 0.4204  7 Co 2.24-2.33
4 Be 0.3333 0.6667 0.5796  7 Co 2.24-2.33
5 Be 0.3333 0.6667 0.9204  7 Co 2.24-2.33
6 Be 0.6667 0.3333 0.0796  7 Co 2.24-2.33
7 Co 0.0000 0.0000 0.5000  6 Be 2.33, 6 Co 2.58
8 Co 0.0000 0.0000 0.0000  6 Be 2.33, 6 Co 2.58
9 Co 0.6667 0.3333 0.6307  4 Be 2.24
10 Co 0.3333 0.6667 0.1307  4 Be 2.24
11 Co 0.6667 0.3333 0.8693  4 Be 2.24
12 Co 0.3333 0.6667 0.3693  4 Be 2.24

**Total DFT energy (no corrections)**: -7.0074 eV/atom
**DOS at the Fermi energy**: 10.8 states/eV/cell